# 1
CuPPt2: optimized geometry, GGA-PBE.

Output
**Raw total energy**: -5.4213 eV per atom
**E above lowest polymorph**: 0.64 eV per formula unit
**Calculated formation energy**: -0.024 eV per atom
**Spin magnetization**: 0.0 μB per cell

a = 4.077 Å, b = 4.077 Å, c = 3.418 Å
α = 90.00°, β = 90.00°, γ = 90.00°
Space group P4/mmm (No. 123)
One atom of each set of equivalent atoms:
Cu: 0.000 0.000 0.000 x1
P: 0.500 0.500 0.000 x1
Pt: 0.000 0.500 0.500 x2

# 2
Er2HfS2N2: optimized geometry, GGA-PBE.

Output
**Raw total energy**: -8.0001 eV per atom
**Spin magnetization**: 0.0 μB per cell
**Uncorrected formation energy**: -1.7165 eV per atom

a = 4.149 Å, b = 4.149 Å, c = 13.926 Å
α = 90.00°, β = 90.00°, γ = 90.00°
Space group I4/mmm (No. 139)
One atom of each set of equivalent atoms:
Er: 0.000 0.000 0.116 x4
Hf: 0.000 0.000 0.500 x2
S: 0.000 0.000 0.316 x4
N: 0.000 0.500 0.000 x4